Record 1
DFT (GGA-PBE) results for KBIr after structural relaxation.

The symmetry is I4/mmm, No. 139. Its energy of formation from the pure elements is 106 meV/atom. The total magnetization comes out at 0.000 μB/atom. The value obtained for the density is 5.135 Mg/m³.

a b c (Å): 3.940 3.940 10.465
angles (deg): 100.85 100.85 90.00
Fractional coordinates of all 6 atoms:
K 0.635 0.635 0.271
K 0.365 0.365 0.729
B 0.955 0.955 0.911
B 0.045 0.045 0.089
Ir 0.500 0.000 0.000
Ir 0.000 0.500 0.000

Record 2
DFT (GGA-PBE) results for LaCoIr after structural relaxation.

The symmetry is Imma, No. 74. Its energy of formation from the pure elements is -421 meV/atom. The total magnetization comes out at 0.259 μB/atom. The value obtained for the density is 12.067 Mg/m³.

a b c (Å): 5.197 5.327 5.327
angles (deg): 62.38 60.81 60.81
Fractional coordinates of all 6 atoms:
Ir 0.500 0.500 0.000
Ir 0.500 0.000 0.500
La 0.122 0.628 0.628
La 0.878 0.372 0.372
Co 0.500 0.000 0.000
Co 0.000 0.000 0.000

Record 3
DFT (GGA-PBE) results for RbLi3Br3 after structural relaxation.

The symmetry is Pm-3n, No. 223. The total magnetization comes out at 0.000 μB/atom. The value obtained for the density is 2.660 Mg/m³. The calculation puts the formation energy without anion corrections at -116.5 kJ/mol of atoms.

a b c (Å): 7.559 7.559 7.559
angles (deg): 90.00 90.00 90.00
Fractional coordinates of all 14 atoms:
Li 0.750 0.000 0.500
Li 0.500 0.250 0.000
Li 0.000 0.500 0.250
Li 0.500 0.750 0.000
Li 0.000 0.500 0.750
Li 0.250 0.000 0.500
Br 0.500 0.000 0.250
Br 0.500 0.000 0.750
Br 0.000 0.250 0.500
Br 0.750 0.500 0.000
Br 0.000 0.750 0.500
Br 0.250 0.500 0.000
Rb 0.000 0.000 0.000
Rb 0.500 0.500 0.500

Record 4
DFT (GGA-PBE) results for Ac3Be2PdO8 after structural relaxation.

The symmetry is P-3m1, No. 164. The total magnetization comes out at 0.073 μB/atom. The value obtained for the density is 8.473 Mg/m³. The calculation puts the formation energy without anion corrections at -246.4 kJ/mol of atoms.

a b c (Å): 5.488 5.488 7.013
angles (deg): 90.00 90.00 120.00
Fractional coordinates of all 14 atoms:
Ac 0.333 0.667 0.663
Ac 0.667 0.333 0.337
Ac 0.000 0.000 0.000
O 0.667 0.333 0.011
O 0.171 0.342 0.305
O 0.171 0.829 0.305
O 0.342 0.171 0.695
O 0.829 0.171 0.695
O 0.658 0.829 0.305
O 0.333 0.667 0.989
O 0.829 0.658 0.695
Be 0.333 0.667 0.212
Be 0.667 0.333 0.788
Pd 0.000 0.000 0.500

Record 5
DFT (GGA-PBE) results for KZr2Co after structural relaxation.

The symmetry is F-43m, No. 216. Its energy of formation from the pure elements is 1172 meV/atom. The total magnetization comes out at 0.736 μB/atom. The value obtained for the density is 5.200 Mg/m³. The value obtained for the energy above the most stable polymorph in this dataset is 0.911 eV per atom.

a b c (Å): 5.022 5.022 5.022
angles (deg): 60.00 60.00 60.00
Fractional coordinates of all 4 atoms:
K 0.750 0.750 0.750
Zr 0.000 0.000 0.000
Zr 0.250 0.250 0.250
Co 0.500 0.500 0.500

Record 6
DFT (GGA-PBE) results for CdTe after structural relaxation.

The symmetry is Fm-3m, No. 225. The total magnetization comes out at 0.000 μB/atom. The value obtained for the density is 6.966 Mg/m³. The calculation puts the formation energy without anion corrections at -27.5 kJ/mol of atoms.

a b c (Å): 4.325 4.325 4.325
angles (deg): 60.00 60.00 60.00
Fractional coordinates of all 2 atoms:
Te 0.500 0.500 0.500
Cd 0.000 0.000 0.000

Record 7
DFT (GGA-PBE) results for CoAs2PtRh after structural relaxation.

The symmetry is P4/mmm, No. 123. Its energy of formation from the pure elements is 646 meV/atom. The total magnetization comes out at 0.345 μB/atom. The value obtained for the density is 9.566 Mg/m³.

a b c (Å): 4.362 4.623 4.362
angles (deg): 90.00 90.00 90.00
Fractional coordinates of all 5 atoms:
Rh 0.000 0.500 0.000
As 0.000 0.000 0.500
As 0.500 0.000 0.000
Pt 0.500 0.500 0.500
Co 0.000 0.000 0.000

Record 8
DFT (GGA-PBE) results for FeAs3P after structural relaxation.

The symmetry is Pm-3m, No. 221. Its energy of formation from the pure elements is 1244 meV/atom. The total magnetization comes out at 0.001 μB/atom. The value obtained for the density is 5.218 Mg/m³. The value obtained for the energy above the most stable polymorph in this dataset is 0.645 eV per atom.

a b c (Å): 4.629 4.629 4.629
angles (deg): 90.00 90.00 90.00
Fractional coordinates of all 5 atoms:
As 0.000 0.500 0.000
As 0.500 0.000 0.000
As 0.000 0.000 0.500
Fe 0.500 0.500 0.500
P 0.000 0.000 0.000

Record 9
DFT (GGA-PBE) results for In3HgPb3 after structural relaxation.

The symmetry is P2_1/m, No. 11. Its energy of formation from the pure elements is 16 meV/atom. The total magnetization comes out at 0.000 μB/atom. The value obtained for the density is 9.576 Mg/m³. The value obtained for the energy above the most stable polymorph in this dataset is 0.000 eV per atom.

a b c (Å): 5.616 9.120 9.016
angles (deg): 118.82 90.00 90.00
Fractional coordinates of all 14 atoms:
Pb 0.750 0.875 0.474
Pb 0.250 0.552 0.812
Pb 0.250 0.125 0.526
Pb 0.250 0.257 0.957
Pb 0.750 0.743 0.043
Pb 0.750 0.448 0.188
In 0.750 0.163 0.330
In 0.250 0.411 0.386
In 0.250 0.837 0.670
In 0.750 0.589 0.614
In 0.250 0.978 0.100
In 0.750 0.022 0.900
Hg 0.250 0.693 0.246
Hg 0.750 0.307 0.754

Record 10
DFT (GGA-PBE) results for CdFe2Ge after structural relaxation.

The symmetry is I-42d, No. 122. Its energy of formation from the pure elements is 543 meV/atom. The total magnetization comes out at 1.210 μB/atom. The value obtained for the density is 7.273 Mg/m³. The value obtained for the energy above the most stable polymorph in this dataset is 0.109 eV per atom.

a b c (Å): 3.916 3.916 9.259
angles (deg): 77.79 77.79 90.00
Fractional coordinates of all 8 atoms:
Ge 0.250 0.750 0.500
Ge 0.500 0.500 0.000
Cd 0.750 0.250 0.500
Cd 0.000 0.000 0.000
Fe 0.875 0.806 0.750
Fe 0.194 0.625 0.250
Fe 0.375 0.444 0.750
Fe 0.556 0.125 0.250

Record 11
DFT (GGA-PBE) results for AlTcNi2 after structural relaxation.

The symmetry is I-42d, No. 122. Its energy of formation from the pure elements is 220 meV/atom. The total magnetization comes out at 0.000 μB/atom. The value obtained for the density is 7.405 Mg/m³.

a b c (Å): 3.556 3.556 8.955
angles (deg): 78.55 78.55 90.00
Fractional coordinates of all 8 atoms:
Ni 0.375 0.379 0.750
Ni 0.129 0.625 0.250
Ni 0.875 0.871 0.750
Ni 0.621 0.125 0.250
Al 0.500 0.500 0.000
Al 0.250 0.750 0.500
Tc 0.750 0.250 0.500
Tc 0.000 0.000 0.000

Record 12
DFT (GGA-PBE) results for KRb8Na6 after structural relaxation.

The symmetry is R-3, No. 148. Its energy of formation from the pure elements is 55 meV/atom. The total magnetization comes out at 0.000 μB/atom. The value obtained for the density is 1.340 Mg/m³.

a b c (Å): 11.084 11.084 11.084
angles (deg): 64.95 64.95 64.95
Fractional coordinates of all 15 atoms:
Rb 0.549 0.882 0.216
Rb 0.333 0.333 0.333
Rb 0.216 0.549 0.882
Rb 0.118 0.784 0.451
Rb 0.667 0.667 0.667
Rb 0.784 0.451 0.118
Rb 0.451 0.118 0.784
Rb 0.882 0.216 0.549
Na 0.716 0.043 0.368
Na 0.043 0.368 0.716
Na 0.368 0.716 0.043
Na 0.957 0.632 0.284
Na 0.632 0.284 0.957
Na 0.284 0.957 0.632
K 0.000 0.000 0.000